Record 1
Co2PbSeCl | the Alexandria database | meta-GGA SCAN | PBEsol geometry; electronic total energy = -26.698 eV per atom; formation energy without anion corrections = 4.96 eV/f.u.
1.0
-4.4914 1.2308 1.8542
-1.3693 -4.8205 -0.1171
1.8246 -0.6360 4.8420
Co Se Pb Cl
2 1 1 1
Cartesian
-0.6846 -2.4102 -0.0586
-2.2457 0.6154 0.9271
0.9123 -0.3180 2.4210
0.0000 0.0000 0.0000
-2.0180 -2.1129 3.2895

Record 2
CuIr2Cl | the Alexandria database | meta-GGA SCAN | PBEsol geometry; electronic total energy = -40.646 eV per atom; formation energy without anion corrections = 2.79 eV/f.u.; energy above the most stable polymorph in this dataset = 0.241 eV/atom
1.0
-1.4707 2.2287 -0.4171
-1.9358 -2.0024 -3.8736
-1.5162 -1.7757 4.6138
Cu Ir Cl
1 2 1
Cartesian
-0.9679 -1.0012 -1.9368
-3.3687 -0.7470 -0.8684
-1.5540 -0.8025 1.1915
-0.7354 1.1143 -0.2085

Record 3
Hf3ReMo | the Alexandria database | meta-GGA SCAN | PBEsol geometry; electronic total energy = -57.455 eV per atom; formation energy = 1.35 eV per atom
1.0
4.7741 0.0000 0.0000
0.0000 4.7741 0.0000
0.0000 0.0000 4.7741
Hf Re Mo
3 1 1
Cartesian
0.0000 2.3871 0.0000
2.3871 0.0000 0.0000
0.0000 0.0000 2.3871
2.3871 2.3871 2.3871
0.0000 0.0000 0.0000